Entry 1:
DFT (GGA-PBE) results for an optimized crystal structure of PrDyTaN3.

Cell and atoms, written as CIF:
```
data_PrDyTaN3
_chemical_formula_sum 'Pr2 Dy2 Ta2 N6'
_symmetry_space_group_name_H-M 'P 1'
_symmetry_Int_Tables_number 1
_cell_length_a 6.592
_cell_length_b 3.379
_cell_length_c 9.586
_cell_angle_alpha 90.00
_cell_angle_beta 96.01
_cell_angle_gamma 90.00
loop_
_symmetry_equiv_pos_as_xyz
'x,y,z'
loop_
_atom_site_label
_atom_site_fract_x
_atom_site_fract_y
_atom_site_fract_z
_atom_site_occupancy
Pr1 0.213 0.250 0.247 1
Pr2 0.787 0.750 0.753 1
Dy1 0.335 0.750 0.887 1
Dy2 0.665 0.250 0.113 1
Ta1 0.140 0.250 0.581 1
Ta2 0.860 0.750 0.419 1
N1 0.107 0.250 0.784 1
N2 0.199 0.750 0.473 1
N3 0.404 0.750 0.124 1
N4 0.596 0.250 0.876 1
N5 0.801 0.250 0.527 1
N6 0.893 0.750 0.216 1
```

Entry 2:
DFT (GGA-PBE) results for an optimized crystal structure of TbPrDyN3.

Cell and atoms, written as CIF:
```
data_TbPrDyN3
_chemical_formula_sum 'Tb2 Pr2 Dy2 N6'
_symmetry_space_group_name_H-M 'P 1'
_symmetry_Int_Tables_number 1
_cell_length_a 6.085
_cell_length_b 3.542
_cell_length_c 9.157
_cell_angle_alpha 90.00
_cell_angle_beta 101.81
_cell_angle_gamma 90.00
loop_
_symmetry_equiv_pos_as_xyz
'x,y,z'
loop_
_atom_site_label
_atom_site_fract_x
_atom_site_fract_y
_atom_site_fract_z
_atom_site_occupancy
Tb1 0.231 0.250 0.456 1
Tb2 0.769 0.750 0.544 1
Pr1 0.344 0.750 0.801 1
Pr2 0.656 0.250 0.199 1
Dy1 0.149 0.750 0.140 1
Dy2 0.851 0.250 0.860 1
N1 0.034 0.250 0.653 1
N2 0.244 0.250 0.010 1
N3 0.460 0.750 0.333 1
N4 0.540 0.250 0.667 1
N5 0.756 0.750 0.990 1
N6 0.966 0.750 0.347 1
```

Number 1: VASP energy -105.4 eV per cell, volume 17.7 Å³ per atom. Number 2: VASP energy -94.5 eV per cell, volume 16.1 Å³ per atom.